Record 1
Nd2Sm3Sn: optimized geometry, PBE-GGA.

Unit cell a=3.606 b=9.933 c=10.771 alpha=89.69 beta=90.00 gamma=90.00
Sites, in units of the cell vectors:
Nd: 0.250 0.356 0.415
Nd: 0.750 0.644 0.585
Nd: 0.750 0.107 0.906
Nd: 0.250 0.893 0.094
Sm: 0.750 0.105 0.596
Sm: 0.250 0.895 0.404
Sm: 0.750 0.624 0.249
Sm: 0.250 0.376 0.751
Sm: 0.250 0.357 0.085
Sm: 0.750 0.643 0.915
Sn: 0.250 0.871 0.750
Sn: 0.750 0.129 0.250

Summary:
- spin magnetization (μB/atom) = 0.000
- symmetry = No. 11
- energy above the lowest structure with this stoichiometry (meV/atom) = 55
- DFT formation energy (eV per atom) = -0.202


Record 2
Sr3Ca7Cd4: optimized geometry, PBE-GGA.

Unit cell a=5.064 b=10.263 c=11.204 alpha=71.56 beta=76.94 gamma=75.72
Sites, in units of the cell vectors:
Sr: 0.312 0.176 0.199
Sr: 0.688 0.824 0.801
Sr: 0.000 0.500 0.500
Ca: 0.315 0.848 0.523
Ca: 0.490 0.238 0.782
Ca: 0.830 0.409 0.931
Ca: 0.685 0.152 0.477
Ca: 0.170 0.591 0.069
Ca: 0.000 0.000 0.000
Ca: 0.510 0.762 0.218
Cd: 0.666 0.428 0.239
Cd: 0.334 0.572 0.761
Cd: 0.886 0.907 0.320
Cd: 0.114 0.093 0.680

Summary:
- spin magnetization (μB/atom) = 0.000
- symmetry = No. 12
- DFT formation energy (eV per atom) = -0.173


Record 3
KCrTc: optimized geometry, PBE-GGA.

Unit cell a=5.090 b=5.090 c=2.717 alpha=90.00 beta=90.00 gamma=120.00
Each line ends with the local moment (μB).
Sites, in units of the cell vectors:
Cr: 0.000 0.000 0.992  3.72
K: 0.667 0.333 0.340  0.02
Tc: 0.333 0.667 0.669  -1.19

Summary:
- spin magnetization (μB/atom) = 0.971
- symmetry = No. 156
- energy above the lowest structure with this stoichiometry (meV/atom) = 669
- DFT formation energy (eV per atom) = 1.531


Record 4
Sm2ScSi4Pt3: optimized geometry, PBE-GGA.

Unit cell a=4.191 b=4.191 c=10.611 alpha=90.00 beta=90.00 gamma=90.00
Sites, in units of the cell vectors:
Sm: 0.500 0.000 0.238
Sm: 0.000 0.500 0.762
Sc: 0.500 0.500 0.500
Si: 0.500 0.500 0.000
Si: 0.000 0.000 0.000
Si: 0.500 0.000 0.654
Si: 0.000 0.500 0.346
Pt: 0.000 0.000 0.500
Pt: 0.500 0.000 0.884
Pt: 0.000 0.500 0.116

Summary:
- spin magnetization (μB/atom) = 0.000
- symmetry = No. 115
- formation energy (no corrections) (meV per atom) = -1052


Record 5
NdPaHg2: optimized geometry, PBE-GGA.

Unit cell a=5.360 b=5.360 c=5.360 alpha=60.00 beta=60.00 gamma=60.00
Each line ends with the local moment (μB).
Sites, in units of the cell vectors:
Pa: 0.000 0.000 0.000  1.44
Nd: 0.500 0.500 0.500  0.33
Hg: 0.250 0.250 0.250  0.04
Hg: 0.750 0.750 0.750  0.04

Summary:
- spin magnetization (μB/atom) = 0.657
- symmetry = No. 225
- energy above the lowest structure with this stoichiometry (meV/atom) = 105
- DFT formation energy (eV per atom) = -0.037


Record 6
CuAuClO2: optimized geometry, PBE-GGA.

Unit cell a=4.077 b=5.146 c=8.269 alpha=95.63 beta=92.47 gamma=89.59
Sites, in units of the cell vectors:
Cu: 0.000 0.000 0.000
Cu: 0.500 0.500 0.000
Au: 0.614 0.977 0.290
Au: 0.386 0.023 0.710
Cl: 0.712 0.746 0.531
Cl: 0.288 0.254 0.469
O: 0.685 0.214 0.105
O: 0.166 0.271 0.886
O: 0.315 0.786 0.895
O: 0.834 0.729 0.114

Summary:
- spin magnetization (μB/atom) = 0.000
- symmetry = No. 2
- formation energy (no corrections) (meV per atom) = -213


Record 7
LaSmZnCd: optimized geometry, PBE-GGA.

Unit cell a=3.751 b=3.751 c=7.705 alpha=90.00 beta=90.00 gamma=90.00
Sites, in units of the cell vectors:
La: 0.500 0.500 0.127
Sm: 0.500 0.500 0.586
Zn: 0.000 0.000 0.372
Cd: 0.000 0.000 0.843

Summary:
- spin magnetization (μB/atom) = 0.000
- symmetry = No. 99
- energy above the lowest structure with this stoichiometry (meV/atom) = 0
- DFT formation energy (eV per atom) = -0.323


Record 8
InAg2I: optimized geometry, PBE-GGA.

Unit cell a=4.896 b=5.374 c=9.271 alpha=79.69 beta=81.14 gamma=82.61
Sites, in units of the cell vectors:
I: 0.560 0.353 0.807
I: 0.001 0.778 0.056
Ag: 0.729 0.120 0.533
Ag: 0.155 0.367 0.610
Ag: 0.432 0.048 0.111
Ag: 0.829 0.659 0.395
In: 0.279 0.896 0.458
In: 0.424 0.422 0.280

Summary:
- spin magnetization (μB/atom) = 0.000
- symmetry = No. 1
- formation energy (no corrections) (meV per atom) = -9
- energy above the lowest structure with this stoichiometry (meV/atom) = 62


Record 9
AcSmCdIr: optimized geometry, PBE-GGA.

Unit cell a=5.318 b=5.318 c=5.318 alpha=60.00 beta=60.00 gamma=60.00
Sites, in units of the cell vectors:
Ac: 0.500 0.500 0.500
Ir: 0.250 0.250 0.250
Sm: 0.000 0.000 0.000
Cd: 0.750 0.750 0.750

Summary:
- spin magnetization (μB/atom) = 0.000
- symmetry = No. 216
- DFT formation energy (eV per atom) = -0.354


Record 10
Sm2MgSi2: optimized geometry, PBE-GGA.

Unit cell a=4.306 b=7.308 c=7.308 alpha=90.00 beta=90.00 gamma=90.00
Sites, in units of the cell vectors:
Si: 0.000 0.616 0.116
Si: 0.000 0.116 0.384
Si: 0.000 0.884 0.616
Si: 0.000 0.384 0.884
Mg: 0.000 0.000 0.000
Mg: 0.000 0.500 0.500
Sm: 0.500 0.321 0.179
Sm: 0.500 0.821 0.321
Sm: 0.500 0.179 0.679
Sm: 0.500 0.679 0.821

Summary:
- spin magnetization (μB/atom) = 0.000
- symmetry = No. 127
- formation energy (no corrections) (meV per atom) = -700


Record 11
Ho2Mn2AlFe5: optimized geometry, PBE-GGA.

Unit cell a=3.723 b=9.025 c=9.025 alpha=90.00 beta=90.00 gamma=90.00
Each line ends with the local moment (μB).
Sites, in units of the cell vectors:
Ho: 0.000 0.686 0.186  -0.24
Ho: 0.000 0.314 0.814  -0.24
Ho: 0.000 0.186 0.314  -0.24
Ho: 0.000 0.814 0.686  -0.24
Mn: 0.000 0.111 0.611  2.37
Mn: 0.000 0.889 0.389  2.37
Mn: 0.000 0.611 0.889  2.37
Mn: 0.000 0.389 0.111  2.37
Al: 0.000 0.000 0.000  -0.04
Al: 0.000 0.500 0.500  -0.04
Fe: 0.500 0.198 0.053  2.26
Fe: 0.500 0.802 0.947  2.26
Fe: 0.500 0.053 0.802  2.26
Fe: 0.500 0.698 0.447  2.26
Fe: 0.500 0.947 0.198  2.26
Fe: 0.500 0.302 0.553  2.26
Fe: 0.500 0.553 0.698  2.26
Fe: 0.500 0.447 0.302  2.26
Fe: 0.500 0.500 0.000  1.54
Fe: 0.500 0.000 0.500  1.54

Summary:
- spin magnetization (μB/atom) = 1.471
- symmetry = No. 127
- DFT formation energy (eV per atom) = 0.117


Record 12
Rb2TlSbO4: optimized geometry, PBE-GGA.

Unit cell a=6.296 b=6.296 c=6.296 alpha=100.77 beta=113.99 gamma=113.99
Sites, in units of the cell vectors:
Rb: 0.500 0.750 0.250
Rb: 0.000 0.000 0.000
Tl: 0.500 0.250 0.750
Sb: 0.000 0.500 0.500
O: 0.674 0.465 0.481
O: 0.015 0.209 0.535
O: 0.985 0.519 0.194
O: 0.326 0.806 0.791

Summary:
- spin magnetization (μB/atom) = 0.000
- symmetry = No. 82
- formation energy (no corrections) (meV per atom) = -1336


Number 1: theoretical density 7.389 g/cm³. Number 2: theoretical density 3.121 g/cm³. Number 3: theoretical density 5.151 g/cm³. Number 4: theoretical density 9.297 g/cm³. Number 5: theoretical density 11.842 g/cm³. Number 6: theoretical density 6.315 g/cm³. Number 7: theoretical density 7.155 g/cm³. Number 8: theoretical density 6.443 g/cm³. Number 9: theoretical density 10.649 g/cm³. Number 10: theoretical density 5.506 g/cm³. Number 11: theoretical density 8.168 g/cm³. Number 12: theoretical density 4.933 g/cm³.